[1]
A plane-wave DFT calculation with PBE was carried out for an optimized crystal structure of FeSiNiHg.

Cell and atoms, written as POSCAR:
```
FeSiNiHg
1.0
3.4791 -1.3311 2.0913
-0.2780 -1.1191 4.1134
0.3751 -4.1034 1.1273
Si Fe Ni Hg
1 1 1 1
direct
0.0000 0.0000 0.0000
0.7500 0.7500 0.7500
0.2500 0.2500 0.2500
0.5000 0.5000 0.5000
```

Computed properties:
**Spin magnetization**: 0.47 μB/atom
**E_tot**: -4.666 eV per atom
**Excess energy over the best structure of this formula in the dataset**: 0 kJ/mol of formula units

=====

[2]
A plane-wave DFT calculation with PBE was carried out for an optimized crystal structure of Zn3As2O6.

Cell and atoms, written as POSCAR:
```
Zn3As2O6
1.0
8.1014 0.0000 0.0000
0.0000 5.1829 0.0000
-1.8287 0.0000 15.6491
Zn O As
12 24 8
direct
0.3895 0.8619 0.9362
0.4906 0.5586 0.1852
0.1282 0.6413 0.2604
0.6105 0.3619 0.5638
0.5094 0.0586 0.3148
0.5094 0.4414 0.8148
0.8718 0.1413 0.2396
0.4906 0.9414 0.6852
0.3895 0.6381 0.4362
0.6105 0.1381 0.0638
0.8718 0.3587 0.7396
0.1282 0.8587 0.7604
0.7844 0.5491 0.6386
0.4123 0.1996 0.2047
0.3741 0.0301 0.0472
0.2710 0.7733 0.6704
0.3665 0.4990 0.9056
0.3665 0.0010 0.4056
0.7290 0.2733 0.8296
0.3741 0.4699 0.5472
0.0794 0.0017 0.2978
0.7290 0.2267 0.3296
0.5877 0.6996 0.2953
0.2156 0.4509 0.3614
0.6335 0.9990 0.5944
0.6335 0.5010 0.0944
0.0794 0.4983 0.7978
0.5877 0.8004 0.7953
0.2710 0.7267 0.1704
0.9206 0.9983 0.7022
0.6259 0.5301 0.4528
0.2156 0.0491 0.8614
0.9206 0.5017 0.2022
0.7844 0.9509 0.1386
0.6259 0.9699 0.9528
0.4123 0.3004 0.7047
0.7522 0.9445 0.8676
0.7522 0.5555 0.3676
0.8402 0.6377 0.1000
0.2478 0.0555 0.1324
0.1598 0.3623 0.9000
0.2478 0.4445 0.6324
0.8402 0.8623 0.6000
0.1598 0.1377 0.4000
```

Computed properties:
**E_tot**: -5.253 eV per atom
**Excess energy over the best structure of this formula in the dataset**: 14 kJ/mol of formula units

=====

[3]
A plane-wave DFT calculation with PBE was carried out for an optimized crystal structure of CsFeTe3Pb.

Cell and atoms, written as POSCAR:
```
CsFeTe3Pb
1.0
10.6253 0.0000 0.0000
0.0000 4.3670 0.0000
-3.9727 0.0000 10.1931
Te Fe Cs Pb
6 2 2 2
direct
0.9652 0.2500 0.8118
0.0348 0.7500 0.1882
0.3223 0.2500 0.5260
0.6777 0.7500 0.4740
0.6752 0.7500 0.8980
0.3248 0.2500 0.1020
0.0749 0.2500 0.0651
0.9251 0.7500 0.9349
0.7325 0.2500 0.2119
0.2675 0.7500 0.7881
0.6336 0.2500 0.6603
0.3664 0.7500 0.3397
```

Computed properties:
**Spin magnetization**: 0.56 μB/atom
**E_tot**: -4.075 eV per atom
**Excess energy over the best structure of this formula in the dataset**: 11 kJ/mol of formula units

=====

[4]
A plane-wave DFT calculation with PBE was carried out for an optimized crystal structure of CoW3.

Cell and atoms, written as POSCAR:
```
CoW3
1.0
5.0545 0.0000 0.0000
-2.5273 4.3773 0.0000
0.0000 0.0000 16.4165
Co W
6 18
direct
0.0000 0.5000 0.5000
0.0000 0.5000 0.0000
0.5000 0.5000 0.5000
0.5000 0.0000 0.0000
0.5000 0.0000 0.5000
0.5000 0.5000 0.0000
0.1641 0.8359 0.2500
0.3333 0.6667 0.8564
0.0000 0.0000 0.0900
0.0000 0.0000 0.4100
0.6667 0.3333 0.6151
0.3333 0.6667 0.6436
0.1641 0.3281 0.2500
0.3333 0.6667 0.3849
0.0000 0.0000 0.9100
0.8359 0.1641 0.7500
0.6667 0.3333 0.1436
0.6667 0.3333 0.8849
0.6719 0.8359 0.2500
0.3333 0.6667 0.1151
0.3281 0.1641 0.7500
0.0000 0.0000 0.5900
0.6667 0.3333 0.3564
0.8359 0.6719 0.7500
```

Computed properties:
**Spin magnetization**: 0.00 μB/atom
**E_tot**: -11.142 eV per atom
**Formation enthalpy at 0 K**: 0.355 eV/atom
**Excess energy over the best structure of this formula in the dataset**: 42 kJ/mol of formula units

=====

[5]
A plane-wave DFT calculation with PBE was carried out for an optimized crystal structure of Mg4Ta3Ge.

Cell and atoms, written as POSCAR:
```
Mg4Ta3Ge
1.0
-7.4480 1.3263 -7.3984
-10.1182 1.4421 -2.7405
0.6654 2.6889 0.3146
Ta Mg Ge
3 4 1
direct
0.5000 0.5000 0.0000
0.7611 0.7611 0.7651
0.2389 0.2389 0.2349
0.8708 0.3765 0.6200
0.1292 0.6235 0.3800
0.3765 0.8708 0.6200
0.6235 0.1292 0.3800
0.0000 0.0000 0.5000
```

Computed properties:
**Spin magnetization**: 0.00 μB/atom
**E_tot**: -5.497 eV per atom

=====

[6]
A plane-wave DFT calculation with PBE was carried out for an optimized crystal structure of KNbAgTeS2.

Cell and atoms, written as POSCAR:
```
KNbAgTeS2
1.0
-3.2200 7.4705 -1.2540
0.9719 -7.0617 4.1154
7.8302 4.3045 5.5369
Ag S K Te Nb
2 4 2 2 2
direct
0.9625 0.0375 0.7500
0.0375 0.9625 0.2500
0.8933 0.1067 0.5433
0.8933 0.1067 0.9567
0.1067 0.8933 0.0433
0.1067 0.8933 0.4567
0.7188 0.2812 0.2500
0.2812 0.7188 0.7500
0.4074 0.5926 0.2500
0.5926 0.4074 0.7500
0.5000 0.5000 0.0000
0.5000 0.5000 0.5000
```

Computed properties:
**Spin magnetization**: 0.10 μB/atom
**E_tot**: -4.851 eV per atom

=====

[7]
A plane-wave DFT calculation with PBE was carried out for an optimized crystal structure of TlCoAgSe2S.

Cell and atoms, written as POSCAR:
```
TlCoAgSe2S
1.0
1.8073 -7.0698 0.0000
1.8073 7.0698 0.0000
0.0000 0.0000 10.1901
Se Ag Co Tl S
4 2 2 2 2
direct
0.8899 0.1101 0.4991
0.1101 0.8899 0.5009
0.8899 0.1101 0.0009
0.1101 0.8899 0.9991
0.1114 0.8886 0.7500
0.8886 0.1114 0.2500
0.5000 0.5000 0.0000
0.5000 0.5000 0.5000
0.7829 0.2171 0.7500
0.2171 0.7829 0.2500
0.5271 0.4729 0.2500
0.4729 0.5271 0.7500
```

Computed properties:
**Spin magnetization**: 0.11 μB/atom
**E_tot**: -3.952 eV per atom

=====

[8]
A plane-wave DFT calculation with PBE was carried out for an optimized crystal structure of PmTeS.

Cell and atoms, written as POSCAR:
```
PmTeS
1.0
-1.3380 -2.4827 -4.5261
-2.5351 -1.1831 4.5401
-2.5523 2.6939 -0.7231
S Te Pm
1 1 1
direct
0.0000 0.0000 0.0000
0.6667 0.3333 0.0000
0.3333 0.6667 0.0000
```

Computed properties:
**Spin magnetization**: 0.02 μB/atom
**E_tot**: -4.428 eV per atom

=====

[9]
A plane-wave DFT calculation with PBE was carried out for an optimized crystal structure of NbCuHgPd.

Cell and atoms, written as POSCAR:
```
NbCuHgPd
1.0
-3.5524 -0.0165 2.8493
-4.1081 1.2985 -1.4751
-3.3145 -3.0809 -0.5110
Hg Pd Cu Nb
1 1 1 1
direct
0.5000 0.5000 0.5000
0.0000 0.0000 0.0000
0.7500 0.7500 0.7500
0.2500 0.2500 0.2500
```

Computed properties:
**Spin magnetization**: 0.00 μB/atom
**E_tot**: -4.714 eV per atom
**Formation enthalpy at 0 K**: 0.107 eV/atom
**Excess energy over the best structure of this formula in the dataset**: 29 kJ/mol of formula units

=====

[10]
A plane-wave DFT calculation with PBE was carried out for an optimized crystal structure of GdY2Sn4Pb3.

Cell and atoms, written as POSCAR:
```
GdY2Sn4Pb3
1.0
2.2228 -13.3408 0.0000
2.2228 13.3408 0.0000
0.0000 0.0000 4.5749
Gd Y Sn Pb
1 2 4 3
direct
0.5000 0.5000 0.0000
0.8085 0.1915 0.5000
0.1915 0.8085 0.5000
0.2886 0.7114 0.0000
0.7114 0.2886 0.0000
0.4026 0.5974 0.5000
0.5974 0.4026 0.5000
0.0993 0.9007 0.0000
0.9007 0.0993 0.0000
0.0000 0.0000 0.5000
```

Computed properties:
**Spin magnetization**: 0.00 μB/atom
**E_tot**: -4.937 eV per atom
**Excess energy over the best structure of this formula in the dataset**: 0 kJ/mol of formula units

=====

[11]
A plane-wave DFT calculation with PBE was carried out for an optimized crystal structure of ScFeTc2.

Cell and atoms, written as POSCAR:
```
ScFeTc2
1.0
3.0140 -0.3004 3.1618
-0.8598 1.5605 3.9996
-0.6031 -2.7611 3.3443
Sc Fe Tc
1 1 2
direct
0.5000 0.5000 0.5000
0.2500 0.2500 0.2500
0.7500 0.7500 0.7500
0.0000 0.0000 0.0000
```

Computed properties:
**Spin magnetization**: 0.45 μB/atom
**E_tot**: -8.890 eV per atom
**Formation enthalpy at 0 K**: -0.050 eV/atom

=====

[12]
A plane-wave DFT calculation with PBE was carried out for an optimized crystal structure of CdBW.

Cell and atoms, written as POSCAR:
```
CdBW
1.0
1.6907 -3.8270 -0.3557
-1.2135 -3.0797 2.5833
-2.3067 -3.1860 -1.4694
W B Cd
1 1 1
direct
0.0000 0.0000 0.0000
0.2500 0.2500 0.2500
0.7500 0.7500 0.7500
```

Computed properties:
**Spin magnetization**: 0.44 μB/atom
**E_tot**: -5.046 eV per atom
**Excess energy over the best structure of this formula in the dataset**: 0 kJ/mol of formula units

=====

Repeat the eighth record exactly.
A plane-wave DFT calculation with PBE was carried out for an optimized crystal structure of PmTeS.

Cell and atoms, written as POSCAR:
```
PmTeS
1.0
-1.3380 -2.4827 -4.5261
-2.5351 -1.1831 4.5401
-2.5523 2.6939 -0.7231
S Te Pm
1 1 1
direct
0.0000 0.0000 0.0000
0.6667 0.3333 0.0000
0.3333 0.6667 0.0000
```

Computed properties:
**Spin magnetization**: 0.02 μB/atom
**E_tot**: -4.428 eV per atom